! PrHoAl2Ga2 PBE optimized geometry; values from VASP
&SYSTEM
  ibrav = 0, nat = 6, ntyp = 4
/
ATOMIC_SPECIES
Pr 140.91 Pr.upf
Ho 164.93 Ho.upf
Al 26.98 Al.upf
Ga 69.72 Ga.upf
CELL_PARAMETERS angstrom
4.503 0.000 0.000
-2.251 3.900 0.000
0.000 0.000 7.343
ATOMIC_POSITIONS crystal
Pr 0.000 0.000 0.000
Ho 0.000 0.000 0.500
Al 0.333 0.667 0.734
Al 0.667 0.333 0.266
Ga 0.333 0.667 0.270
Ga 0.667 0.333 0.730
! E_form in eV per atom: -0.568
! Space-group type: P-3m1
! Total magnetization in μB/f.u.: 0.0
! Density in g cm⁻³: 6.429



! Ho2AlGa2Pt5 PBE optimized geometry; values from VASP
&SYSTEM
  ibrav = 0, nat = 20, ntyp = 4
/
ATOMIC_SPECIES
Ho 164.93 Ho.upf
Al 26.98 Al.upf
Ga 69.72 Ga.upf
Pt 195.08 Pt.upf
CELL_PARAMETERS angstrom
9.749 0.000 0.000
0.000 9.749 0.000
0.000 0.000 3.708
ATOMIC_POSITIONS crystal
Ho 0.175 0.325 0.000
Ho 0.325 0.825 0.000
Ho 0.675 0.175 0.000
Ho 0.825 0.675 0.000
Al 0.000 0.000 0.000
Al 0.500 0.500 0.000
Ga 0.126 0.626 0.000
Ga 0.374 0.126 0.000
Ga 0.626 0.874 0.000
Ga 0.874 0.374 0.000
Pt 0.000 0.500 0.500
Pt 0.060 0.799 0.500
Pt 0.201 0.060 0.500
Pt 0.299 0.560 0.500
Pt 0.440 0.299 0.500
Pt 0.500 0.000 0.500
Pt 0.560 0.701 0.500
Pt 0.701 0.440 0.500
Pt 0.799 0.940 0.500
Pt 0.940 0.201 0.500
! E_form in eV per atom: -0.934
! Space-group type: P4/mbm
! Total magnetization in μB/f.u.: 0.0
! Density in g cm⁻³: 13.866



! HoAlGaPt2 PBE optimized geometry; values from VASP
&SYSTEM
  ibrav = 0, nat = 5, ntyp = 4
/
ATOMIC_SPECIES
Ho 164.93 Ho.upf
Al 26.98 Al.upf
Ga 69.72 Ga.upf
Pt 195.08 Pt.upf
CELL_PARAMETERS angstrom
-1.977 1.977 5.965
1.977 -1.977 5.965
1.977 1.977 -5.965
ATOMIC_POSITIONS crystal
Ho 0.000 0.000 0.000
Al 0.250 0.750 0.500
Ga 0.750 0.250 0.500
Pt 0.386 0.386 0.000
Pt 0.614 0.614 0.000
! E_form in eV per atom: -1.030
! Space-group type: I-4m2
! Total magnetization in μB/f.u.: 0.0
! Density in g cm⁻³: 11.605



! Ho2AlGa4Pt3 PBE optimized geometry; values from VASP
&SYSTEM
  ibrav = 0, nat = 10, ntyp = 4
/
ATOMIC_SPECIES
Ho 164.93 Ho.upf
Al 26.98 Al.upf
Ga 69.72 Ga.upf
Pt 195.08 Pt.upf
CELL_PARAMETERS angstrom
4.025 0.000 0.000
0.000 4.025 0.000
0.000 0.000 11.449
ATOMIC_POSITIONS crystal
Ho 0.000 0.500 0.250
Ho 0.500 0.000 0.750
Al 0.000 0.000 0.500
Ga 0.000 0.000 0.000
Ga 0.000 0.500 0.641
Ga 0.500 0.000 0.359
Ga 0.500 0.500 0.000
Pt 0.000 0.500 0.857
Pt 0.500 0.000 0.143
Pt 0.500 0.500 0.500
! E_form in eV per atom: -0.877
! Space-group type: P-4m2
! Total magnetization in μB/f.u.: 0.0
! Density in g cm⁻³: 10.930



! Ho2Al3GaPt4 PBE optimized geometry; values from VASP
&SYSTEM
  ibrav = 0, nat = 10, ntyp = 4
/
ATOMIC_SPECIES
Ho 164.93 Ho.upf
Al 26.98 Al.upf
Ga 69.72 Ga.upf
Pt 195.08 Pt.upf
CELL_PARAMETERS angstrom
4.105 0.000 0.000
0.000 4.105 0.000
0.000 0.000 10.924
ATOMIC_POSITIONS crystal
Ho 0.000 0.500 0.244
Ho 0.500 0.000 0.756
Al 0.000 0.000 0.000
Al 0.000 0.500 0.632
Al 0.500 0.000 0.368
Ga 0.500 0.500 0.000
Pt 0.000 0.000 0.500
Pt 0.000 0.500 0.857
Pt 0.500 0.000 0.143
Pt 0.500 0.500 0.500
! E_form in eV per atom: -1.082
! Space-group type: P-4m2
! Total magnetization in μB/f.u.: 0.0
! Density in g cm⁻³: 11.372



! Ho2Al2GaPt5 PBE optimized geometry; values from VASP
&SYSTEM
  ibrav = 0, nat = 20, ntyp = 4
/
ATOMIC_SPECIES
Ho 164.93 Ho.upf
Al 26.98 Al.upf
Ga 69.72 Ga.upf
Pt 195.08 Pt.upf
CELL_PARAMETERS angstrom
9.829 0.000 0.000
0.000 9.829 0.000
0.000 0.000 3.648
ATOMIC_POSITIONS crystal
Ho 0.177 0.323 0.000
Ho 0.323 0.823 0.000
Ho 0.677 0.177 0.000
Ho 0.823 0.677 0.000
Al 0.122 0.622 0.000
Al 0.378 0.122 0.000
Al 0.622 0.878 0.000
Al 0.878 0.378 0.000
Ga 0.000 0.000 0.000
Ga 0.500 0.500 0.000
Pt 0.000 0.500 0.500
Pt 0.063 0.795 0.500
Pt 0.205 0.063 0.500
Pt 0.295 0.563 0.500
Pt 0.437 0.295 0.500
Pt 0.500 0.000 0.500
Pt 0.563 0.705 0.500
Pt 0.705 0.437 0.500
Pt 0.795 0.937 0.500
Pt 0.937 0.205 0.500
! E_form in eV per atom: -0.961
! Space-group type: P4/mbm
! Total magnetization in μB/f.u.: 0.0
! Density in g cm⁻³: 13.469



! Ho2AlGa3Pt4 PBE optimized geometry; values from VASP
&SYSTEM
  ibrav = 0, nat = 10, ntyp = 4
/
ATOMIC_SPECIES
Ho 164.93 Ho.upf
Al 26.98 Al.upf
Ga 69.72 Ga.upf
Pt 195.08 Pt.upf
CELL_PARAMETERS angstrom
4.089 0.000 0.000
0.000 4.089 0.000
0.000 0.000 11.061
ATOMIC_POSITIONS crystal
Ho 0.000 0.500 0.249
Ho 0.500 0.000 0.751
Al 0.000 0.000 0.500
Ga 0.000 0.500 0.864
Ga 0.500 0.000 0.136
Ga 0.500 0.500 0.500
Pt 0.000 0.000 0.000
Pt 0.000 0.500 0.640
Pt 0.500 0.000 0.360
Pt 0.500 0.500 0.000
! E_form in eV per atom: -0.999
! Space-group type: P-4m2
! Total magnetization in μB/f.u.: 0.0
! Density in g cm⁻³: 12.091



! HoAlGa2Pt4 PBE optimized geometry; values from VASP
&SYSTEM
  ibrav = 0, nat = 8, ntyp = 4
/
ATOMIC_SPECIES
Ho 164.93 Ho.upf
Al 26.98 Al.upf
Ga 69.72 Ga.upf
Pt 195.08 Pt.upf
CELL_PARAMETERS angstrom
2.161 1.247 8.448
-2.161 1.247 8.448
0.000 -2.495 8.448
ATOMIC_POSITIONS crystal
Ho 0.000 0.000 0.000
Al 0.500 0.500 0.500
Ga 0.250 0.250 0.250
Ga 0.750 0.750 0.750
Pt 0.135 0.135 0.135
Pt 0.402 0.402 0.402
Pt 0.598 0.598 0.598
Pt 0.865 0.865 0.865
! E_form in eV per atom: -0.933
! Space-group type: R-3m
! Total magnetization in μB/f.u.: 0.0
! Density in g cm⁻³: 13.512



! Ho2AlGa2Rh5 PBE optimized geometry; values from VASP
&SYSTEM
  ibrav = 0, nat = 20, ntyp = 4
/
ATOMIC_SPECIES
Ho 164.93 Ho.upf
Al 26.98 Al.upf
Ga 69.72 Ga.upf
Rh 102.91 Rh.upf
CELL_PARAMETERS angstrom
9.824 0.000 0.000
0.000 9.824 0.000
0.000 0.000 3.457
ATOMIC_POSITIONS crystal
Ho 0.172 0.328 0.000
Ho 0.328 0.828 0.000
Ho 0.672 0.172 0.000
Ho 0.828 0.672 0.000
Al 0.000 0.000 0.000
Al 0.500 0.500 0.000
Ga 0.127 0.627 0.000
Ga 0.373 0.127 0.000
Ga 0.627 0.873 0.000
Ga 0.873 0.373 0.000
Rh 0.000 0.500 0.500
Rh 0.066 0.800 0.500
Rh 0.200 0.066 0.500
Rh 0.300 0.566 0.500
Rh 0.434 0.300 0.500
Rh 0.500 0.000 0.500
Rh 0.566 0.700 0.500
Rh 0.700 0.434 0.500
Rh 0.800 0.934 0.500
Rh 0.934 0.200 0.500
! E_form in eV per atom: -0.848
! Space-group type: P4/mbm
! Total magnetization in μB/f.u.: 0.0
! Density in g cm⁻³: 10.064



! HoAl2GaS6 PBE optimized geometry; values from VASP
&SYSTEM
  ibrav = 0, nat = 20, ntyp = 4
/
ATOMIC_SPECIES
Ho 164.93 Ho.upf
Al 26.98 Al.upf
Ga 69.72 Ga.upf
S 32.06 S.upf
CELL_PARAMETERS angstrom
6.357 -5.471 0.000
6.357 5.471 0.000
-2.707 0.000 6.442
ATOMIC_POSITIONS crystal
Ho 0.152 0.848 0.750
Ho 0.848 0.152 0.250
Al 0.252 0.377 0.798
Al 0.377 0.252 0.298
Al 0.623 0.748 0.702
Al 0.748 0.623 0.202
Ga 0.194 0.806 0.250
Ga 0.806 0.194 0.750
S 0.053 0.176 0.648
S 0.116 0.619 0.937
S 0.176 0.053 0.148
S 0.275 0.457 0.526
S 0.381 0.884 0.563
S 0.457 0.275 0.026
S 0.543 0.725 0.974
S 0.619 0.116 0.437
S 0.725 0.543 0.474
S 0.824 0.947 0.852
S 0.884 0.381 0.063
S 0.947 0.824 0.352
! Calculated total energy in eV/atom: -5.104
! Space-group type: C2/c
! Total magnetization in μB/f.u.: 0.0
! Density in g cm⁻³: 3.565



! HoAlGa2S6 PBE optimized geometry; values from VASP
&SYSTEM
  ibrav = 0, nat = 20, ntyp = 4
/
ATOMIC_SPECIES
Ho 164.93 Ho.upf
Al 26.98 Al.upf
Ga 69.72 Ga.upf
S 32.06 S.upf
CELL_PARAMETERS angstrom
6.407 -5.487 0.000
6.407 5.487 0.000
-2.702 0.000 6.446
ATOMIC_POSITIONS crystal
Ho 0.152 0.848 0.750
Ho 0.848 0.152 0.250
Al 0.188 0.812 0.250
Al 0.812 0.188 0.750
Ga 0.253 0.376 0.801
Ga 0.376 0.253 0.301
Ga 0.624 0.747 0.699
Ga 0.747 0.624 0.199
S 0.051 0.174 0.649
S 0.119 0.623 0.943
S 0.174 0.051 0.149
S 0.268 0.460 0.526
S 0.377 0.881 0.557
S 0.460 0.268 0.026
S 0.540 0.732 0.974
S 0.623 0.119 0.443
S 0.732 0.540 0.474
S 0.826 0.949 0.851
S 0.881 0.377 0.057
S 0.949 0.826 0.351
! Calculated total energy in eV/atom: -4.935
! Space-group type: C2/c
! Total magnetization in μB/f.u.: 0.0
! Density in g cm⁻³: 3.838



! HoScAlGa PBE optimized geometry; values from VASP
&SYSTEM
  ibrav = 0, nat = 4, ntyp = 4
/
ATOMIC_SPECIES
Ho 164.93 Ho.upf
Sc 44.96 Sc.upf
Al 26.98 Al.upf
Ga 69.72 Ga.upf
CELL_PARAMETERS angstrom
0.000 3.479 3.479
3.479 0.000 3.479
3.479 3.479 0.000
ATOMIC_POSITIONS crystal
Ho 0.000 0.000 0.000
Sc 0.500 0.500 0.500
Al 0.750 0.750 0.750
Ga 0.250 0.250 0.250
! E_form in eV per atom: -0.478
! Space-group type: F-43m
! Total magnetization in μB/f.u.: 0.0
! Density in g cm⁻³: 6.045



! SmHoAlGa PBE optimized geometry; values from VASP
&SYSTEM
  ibrav = 0, nat = 4, ntyp = 4
/
ATOMIC_SPECIES
Sm 150.36 Sm.upf
Ho 164.93 Ho.upf
Al 26.98 Al.upf
Ga 69.72 Ga.upf
CELL_PARAMETERS angstrom
4.105 0.000 0.000
0.000 2.220 5.559
0.000 -2.220 5.559
ATOMIC_POSITIONS crystal
Sm 0.000 0.000 0.000
Ho 0.500 0.281 0.281
Al 0.000 0.713 0.713
Ga 0.500 0.566 0.566
! E_form in eV per atom: -0.497
! Space-group type: Amm2
! Total magnetization in μB/f.u.: 0.0
! ΔE to the lowest computed polymorph in meV/atom: 0
! Density in g cm⁻³: 6.755



! SmHoAlGa PBE optimized geometry; values from VASP
&SYSTEM
  ibrav = 0, nat = 4, ntyp = 4
/
ATOMIC_SPECIES
Sm 150.36 Sm.upf
Ho 164.93 Ho.upf
Al 26.98 Al.upf
Ga 69.72 Ga.upf
CELL_PARAMETERS angstrom
0.000 3.621 3.621
3.621 0.000 3.621
3.621 3.621 0.000
ATOMIC_POSITIONS crystal
Sm 0.000 0.000 0.000
Ho 0.500 0.500 0.500
Al 0.750 0.750 0.750
Ga 0.250 0.250 0.250
! E_form in eV per atom: -0.470
! Space-group type: F-43m
! Total magnetization in μB/f.u.: 0.0
! ΔE to the lowest computed polymorph in meV/atom: 27
! Density in g cm⁻³: 7.204



! SmHo2Al2Ga2 PBE optimized geometry; values from VASP
&SYSTEM
  ibrav = 0, nat = 7, ntyp = 4
/
ATOMIC_SPECIES
Sm 150.36 Sm.upf
Ho 164.93 Ho.upf
Al 26.98 Al.upf
Ga 69.72 Ga.upf
CELL_PARAMETERS angstrom
2.187 1.262 9.948
-2.187 1.262 9.948
0.000 -2.525 9.948
ATOMIC_POSITIONS crystal
Sm 0.000 0.000 0.000
Ho 0.129 0.129 0.129
Ho 0.871 0.871 0.871
Al 0.397 0.397 0.397
Al 0.603 0.603 0.603
Ga 0.256 0.256 0.256
Ga 0.744 0.744 0.744
! E_form in eV per atom: -0.390
! Space-group type: R-3m
! Total magnetization in μB/f.u.: 0.0
! Density in g cm⁻³: 6.789



! TbHo2Al2Ga2 PBE optimized geometry; values from VASP
&SYSTEM
  ibrav = 0, nat = 7, ntyp = 4
/
ATOMIC_SPECIES
Tb 158.93 Tb.upf
Ho 164.93 Ho.upf
Al 26.98 Al.upf
Ga 69.72 Ga.upf
CELL_PARAMETERS angstrom
2.131 1.230 10.593
-2.131 1.230 10.593
0.000 -2.461 10.593
ATOMIC_POSITIONS crystal
Tb 0.000 0.000 0.000
Ho 0.126 0.126 0.126
Ho 0.874 0.874 0.874
Al 0.393 0.393 0.393
Al 0.607 0.607 0.607
Ga 0.261 0.261 0.261
Ga 0.739 0.739 0.739
! E_form in eV per atom: -0.384
! Space-group type: R-3m
! Total magnetization in μB/f.u.: 0.0
! Density in g cm⁻³: 6.796



! HoTiAlGa PBE optimized geometry; values from VASP
&SYSTEM
  ibrav = 0, nat = 4, ntyp = 4
/
ATOMIC_SPECIES
Ho 164.93 Ho.upf
Ti 47.87 Ti.upf
Al 26.98 Al.upf
Ga 69.72 Ga.upf
CELL_PARAMETERS angstrom
0.000 3.388 3.388
3.388 0.000 3.388
3.388 3.388 0.000
ATOMIC_POSITIONS crystal
Ho 0.000 0.000 0.000
Ti 0.500 0.500 0.500
Al 0.250 0.250 0.250
Ga 0.750 0.750 0.750
! E_form in eV per atom: -0.282
! Space-group type: F-43m
! Total magnetization in μB/f.u.: 1.0
! Density in g cm⁻³: 6.607



! Ho2Tm2AlGa4 PBE optimized geometry; values from VASP
&SYSTEM
  ibrav = 0, nat = 9, ntyp = 4
/
ATOMIC_SPECIES
Ho 164.93 Ho.upf
Tm 168.93 Tm.upf
Al 26.98 Al.upf
Ga 69.72 Ga.upf
CELL_PARAMETERS angstrom
-3.461 3.461 4.406
3.461 -3.461 4.406
3.461 3.461 -4.406
ATOMIC_POSITIONS crystal
Ho 0.188 0.188 0.000
Ho 0.812 0.812 0.000
Tm 0.250 0.750 0.500
Tm 0.750 0.250 0.500
Al 0.500 0.500 0.000
Ga 0.248 0.248 0.496
Ga 0.248 0.752 0.000
Ga 0.752 0.248 0.000
Ga 0.752 0.752 0.504
! E_form in eV per atom: -0.216
! Space-group type: I4/mmm
! Total magnetization in μB/f.u.: 0.0
! Density in g cm⁻³: 7.657



! Ho2TmAl2Ga2 PBE optimized geometry; values from VASP
&SYSTEM
  ibrav = 0, nat = 7, ntyp = 4
/
ATOMIC_SPECIES
Ho 164.93 Ho.upf
Tm 168.93 Tm.upf
Al 26.98 Al.upf
Ga 69.72 Ga.upf
CELL_PARAMETERS angstrom
2.164 1.249 9.924
-2.164 1.249 9.924
0.000 -2.499 9.924
ATOMIC_POSITIONS crystal
Ho 0.126 0.126 0.126
Ho 0.874 0.874 0.874
Tm 0.000 0.000 0.000
Al 0.393 0.393 0.393
Al 0.607 0.607 0.607
Ga 0.262 0.262 0.262
Ga 0.738 0.738 0.738
! E_form in eV per atom: -0.360
! Space-group type: R-3m
! Total magnetization in μB/f.u.: 0.0
! Density in g cm⁻³: 7.141



! HoTm2Al2Ga2 PBE optimized geometry; values from VASP
&SYSTEM
  ibrav = 0, nat = 7, ntyp = 4
/
ATOMIC_SPECIES
Ho 164.93 Ho.upf
Tm 168.93 Tm.upf
Al 26.98 Al.upf
Ga 69.72 Ga.upf
CELL_PARAMETERS angstrom
2.174 1.255 9.710
-2.174 1.255 9.710
0.000 -2.510 9.710
ATOMIC_POSITIONS crystal
Ho 0.000 0.000 0.000
Tm 0.128 0.128 0.128
Tm 0.872 0.872 0.872
Al 0.394 0.394 0.394
Al 0.606 0.606 0.606
Ga 0.258 0.258 0.258
Ga 0.742 0.742 0.742
! E_form in eV per atom: -0.358
! Space-group type: R-3m
! Total magnetization in μB/f.u.: 0.0
! Density in g cm⁻³: 7.275